# 1
Crystalline Er5HgBi at its relaxed geometry, computed with PBE-GGA.

```
Er5HgBi
1.0
6.482 0.706 -0.392
2.726 5.923 -0.392
2.709 1.951 11.341
Er Hg Bi
10 2 2
direct
0.885 0.648 0.159
0.244 0.467 0.556
0.648 0.885 0.659
0.884 0.116 0.250
0.533 0.756 0.944
0.467 0.244 0.056
0.116 0.884 0.750
0.352 0.115 0.341
0.756 0.533 0.444
0.115 0.352 0.841
0.000 0.000 0.000
0.000 0.000 0.500
0.384 0.616 0.250
0.616 0.384 0.750
```

Values from the calculation:
Fermi-level density of states	1.087	states/eV per atom
formation energy from the elements	-0.144	eV per atom
crystal system	monoclinic
magnetic moment	0.0	μB per formula unit
theoretical density	9.8	g/cm³


# 2
Crystalline La7Dy16Ho6 at its relaxed geometry, computed with PBE-GGA.

```
La7Dy16Ho6
1.0
-9.145 -4.139 -5.187
-4.041 -10.142 2.912
-9.790 -0.789 5.585
La Dy Ho
7 16 6
direct
0.000 0.000 0.000
0.500 0.000 0.500
0.000 0.500 0.000
0.000 0.500 0.500
0.500 0.000 0.000
0.000 0.000 0.500
0.500 0.500 0.000
0.870 0.870 0.390
0.870 0.870 0.870
0.870 0.390 0.870
0.390 0.870 0.870
0.130 0.130 0.130
0.130 0.130 0.610
0.130 0.610 0.130
0.610 0.130 0.130
0.650 0.650 0.049
0.650 0.650 0.650
0.650 0.049 0.650
0.049 0.650 0.650
0.350 0.350 0.350
0.350 0.350 0.951
0.350 0.951 0.350
0.951 0.350 0.350
0.252 0.748 0.252
0.748 0.252 0.748
0.748 0.252 0.252
0.252 0.748 0.748
0.748 0.748 0.252
0.252 0.252 0.748
```

Values from the calculation:
Fermi-level density of states	1.866	states/eV per atom
formation energy from the elements	0.276	eV per atom
crystal system	cubic
magnetic moment	0.0	μB per formula unit
theoretical density	7.4	g/cm³


# 3
Crystalline K5LiTl4 at its relaxed geometry, computed with PBE-GGA.

```
K5LiTl4
1.0
-4.408 -2.198 1.102
3.642 -7.992 -1.376
3.052 4.726 10.079
K Li Tl
5 1 4
direct
0.150 0.290 0.300
0.197 0.796 0.395
0.803 0.204 0.605
0.500 0.500 0.000
0.850 0.710 0.700
0.500 0.000 0.000
0.621 0.945 0.242
0.968 0.134 0.937
0.379 0.055 0.758
0.032 0.866 0.063
```

Values from the calculation:
Fermi-level density of states	0.716	states/eV per atom
formation energy from the elements	-0.078	eV per atom
crystal system	monoclinic
magnetic moment	0.0	μB per formula unit
theoretical density	3.7	g/cm³